VASP calculation (PBE) on a relaxed HoTl3Cl6 crystal.

Values from the calculation:
total magnetization	0.0	μB/f.u.
E_tot	-76.66	eV per cell
V	656	Å³/cell

Lattice parameters (Å, degrees): 7.428 8.170 12.842 90.00 122.63 90.00
Space group P2_1/c (No. 14)
Unique sites:
1 Ho 0.000 0.000 0.000 x2
2 Tl 0.290 0.068 0.765 x4
3 Tl 0.500 0.000 0.500 x2
4 Cl 0.102 0.062 0.227 x4
5 Cl 0.237 0.732 0.077 x4
6 Cl 0.336 0.167 0.041 x4


VASP calculation (PBE) on a relaxed Sc2CuN crystal.

Values from the calculation:
total magnetization	0.0	μB/f.u.
E_tot	-340.99	eV per cell
V	721	Å³/cell

Lattice parameters (Å, degrees): 9.493 5.472 14.251 90.00 103.15 90.00
Space group C2/c (No. 15)
Unique sites:
1 Sc 0.048 0.082 0.400 x8
2 Sc 0.113 0.414 0.586 x8
3 Sc 0.222 0.418 0.914 x8
4 Cu 0.000 0.432 0.750 x4
5 Cu 0.239 0.154 0.750 x8
6 N 0.082 0.245 0.000 x8
7 N 0.250 0.250 0.500 x4


VASP calculation (PBE) on a relaxed LiLuNiSn crystal.

Values from the calculation:
total magnetization	0.0	μB/f.u.
E_tot	-73.34	eV per cell
energy relative to the lowest polymorph listed for this composition	0.0	meV/atom
V	269	Å³/cell

Lattice parameters (Å, degrees): 6.456 6.456 6.456 90.00 90.00 90.00
Space group F-43m (No. 216)
Unique sites:
1 Li 0.000 0.000 0.000 x4
2 Lu 0.250 0.250 0.250 x4
3 Ni 0.000 0.000 0.500 x4
4 Sn 0.250 0.250 0.750 x4


VASP calculation (PBE) on a relaxed Gd2Ag2SnPb crystal.

Values from the calculation:
total magnetization	0.0	μB/f.u.
E_tot	-25.81	eV per cell
V	148	Å³/cell

Lattice parameters (Å, degrees): 4.7840 4.7840 7.4807 90.00 90.00 120.00
Space group P3m1 (No. 156)
Unique sites:
1 Gd 0.0000 0.0000 0.0000 x1
2 Gd 0.0000 0.0000 0.4956 x1
3 Ag 0.3333 0.6667 0.8173 x1
4 Ag 0.6667 0.3333 0.3008 x1
5 Sn 0.3333 0.6667 0.2188 x1
6 Pb 0.6667 0.3333 0.7161 x1


VASP calculation (PBE) on a relaxed Dy4Er2LuTe2Pd2 crystal.

Values from the calculation:
total magnetization	0.0	μB/f.u.
E_tot	-115.83	eV per cell
energy relative to the lowest polymorph listed for this composition	0.0	meV/atom
V	590	Å³/cell

Lattice parameters (Å, degrees): 3.923 15.627 9.628 90.00 90.00 90.00
Space group Imm2 (No. 44)
Unique sites:
1 Dy 0.000 0.129 0.000 x4
2 Dy 0.000 0.357 0.151 x4
3 Er 0.000 0.318 0.792 x4
4 Lu 0.000 0.000 0.417 x2
5 Te 0.000 0.000 0.754 x2
6 Te 0.000 0.500 0.654 x2
7 Pd 0.000 0.236 0.486 x4


VASP calculation (PBE) on a relaxed PrGdSi2W2C crystal.

Values from the calculation:
total magnetization	0.0	μB/f.u.
E_tot	-117.78	eV per cell
V	259	Å³/cell

Lattice parameters (Å, degrees): 11.177 3.919 7.266 90.00 125.51 90.00
Space group Cm (No. 8)
Unique sites:
1 Pr 0.000 0.000 0.000 x2
2 Gd 0.349 0.500 0.401 x2
3 Si 0.057 0.500 0.367 x2
4 Si 0.290 0.000 0.032 x2
5 W 0.130 0.500 0.778 x2
6 W 0.215 0.000 0.616 x2
7 C 0.421 0.000 0.692 x2


VASP calculation (PBE) on a relaxed RbMgNbPd crystal.

Values from the calculation:
total magnetization	3.3	μB/f.u.
E_tot	-55.49	eV per cell
energy relative to the lowest polymorph listed for this composition	124.4	meV/atom
V	387	Å³/cell

Lattice parameters (Å, degrees): 7.290 7.290 7.290 90.00 90.00 90.00
Space group F-43m (No. 216)
Unique sites:
1 Rb 0.000 0.000 0.000 x4
2 Mg 0.250 0.250 0.750 x4
3 Nb 0.000 0.000 0.500 x4
4 Pd 0.250 0.250 0.250 x4


VASP calculation (PBE) on a relaxed Zr2NiSn crystal.

Values from the calculation:
total magnetization	2.7	μB/f.u.
E_tot	-106.01	eV per cell
V	314	Å³/cell

Lattice parameters (Å, degrees): 6.799 6.799 6.799 90.00 90.00 90.00
Space group F-43m (No. 216)
Unique sites:
1 Zr 0.000 0.000 0.000 x4
2 Zr 0.250 0.250 0.250 x4
3 Ni 0.250 0.250 0.750 x4
4 Sn 0.000 0.000 0.500 x4


VASP calculation (PBE) on a relaxed CsFeBi crystal.

Values from the calculation:
total magnetization	4.0	μB/f.u.
E_tot	-41.37	eV per cell
energy relative to the lowest polymorph listed for this composition	93.1	meV/atom
V	483	Å³/cell

Lattice parameters (Å, degrees): 7.846 7.846 7.846 90.00 90.00 90.00
Space group F-43m (No. 216)
Unique sites:
1 Cs 0.000 0.000 0.000 x4
2 Fe 0.000 0.000 0.500 x4
3 Bi 0.250 0.250 0.250 x4


VASP calculation (PBE) on a relaxed CsUGe crystal.

Values from the calculation:
total magnetization	3.0	μB/f.u.
E_tot	-48.81	eV per cell
energy relative to the lowest polymorph listed for this composition	425.2	meV/atom
V	346	Å³/cell

Lattice parameters (Å, degrees): 7.021 7.021 7.021 90.00 90.00 90.00
Space group F-43m (No. 216)
Unique sites:
1 Cs 0.000 0.000 0.000 x4
2 U 0.250 0.250 0.250 x4
3 Ge 0.250 0.250 0.750 x4


VASP calculation (PBE) on a relaxed ZnGaFeMo crystal.

Values from the calculation:
total magnetization	3.3	μB/f.u.
E_tot	-90.76	eV per cell
energy relative to the lowest polymorph listed for this composition	44.2	meV/atom
V	224	Å³/cell

Lattice parameters (Å, degrees): 6.076 6.076 6.076 90.00 90.00 90.00
Space group F-43m (No. 216)
Unique sites:
1 Zn 0.000 0.000 0.000 x4
2 Ga 0.000 0.000 0.500 x4
3 Fe 0.250 0.250 0.750 x4
4 Mo 0.250 0.250 0.250 x4


VASP calculation (PBE) on a relaxed InAsPdO crystal.

Values from the calculation:
E_tot	-38.14	eV per cell
energy relative to the lowest polymorph listed for this composition	187.7	meV/atom
V	153	Å³/cell

Lattice parameters (Å, degrees): 4.154 7.161 5.146 90.00 90.00 90.00
Space group Pmc2_1 (No. 26)
Unique sites:
1 In 0.000 0.171 0.000 x2
2 As 0.500 0.383 0.845 x2
3 Pd 0.500 0.284 0.387 x2
4 O 0.000 0.113 0.411 x2